ZrRe2Ru, optimized geometry, DFT GGA-PBEsol; symmetry = No. 6; offset from the most stable computed form = 92 meV/atom; magnetization = 0.00 μB per formula unit; energy of formation = 0.260 eV/f.u.
1.0
2.7630 0.0000 -0.0179
0.0000 4.3654 0.0000
-0.9008 0.0000 5.1758
Re Ru Zr
2 1 1
direct
0.0247 0.0000 0.0203
0.7629 0.5000 0.2309
0.4677 0.0000 0.5100
0.2447 0.5000 0.7389